No. 1
First-principles (PBE) data for crystalline AcZrNO at its relaxed geometry, as listed in the Open Quantum Materials Database.

POSCAR file:
```
AcZrNO
1.0
4.356 0.000 0.000
0.000 4.356 0.000
0.000 0.000 8.960
Ac Zr N O
2 2 2 2
Direct
0.250 0.250 0.134
0.750 0.750 0.866
0.250 0.750 0.500
0.750 0.250 0.500
0.250 0.250 0.532
0.750 0.750 0.468
0.250 0.750 0.000
0.750 0.250 0.000
```

Properties
**Space-group type**: P4/nmm
**Final energy**: -67.3 eV/cell

***

No. 2
First-principles (PBE) data for crystalline AcZrNO at its relaxed geometry, as listed in the Open Quantum Materials Database.

POSCAR file:
```
AcZrNO
1.0
4.249 0.000 0.000
0.000 5.902 0.000
0.000 0.000 5.771
Ac Zr N O
2 2 2 2
Direct
0.000 0.242 0.000
0.000 0.758 0.500
0.500 0.242 0.505
0.500 0.758 0.005
0.000 0.188 0.506
0.000 0.812 0.006
0.500 0.478 0.781
0.500 0.522 0.281
```

Properties
**Space-group type**: Pmc2_1
**Final energy**: -67.0 eV/cell

***

no.,spin magnetization (μB/f.u.)
1,0.018
2,0.002